[1]
## HfHgAu2I (PBE)

Data for a relaxed structure of HfHgAu2I.

Calculated values
* size of the total moment: 0.00 μB/f.u.
* formation energy (no corrections): 3.717 eV per formula unit
* calculated volume: 146.31 Å³ per cell

a = 5.2026 Å, b = 5.2026 Å, c = 5.4056 Å
α = 90.00°, β = 90.00°, γ = 90.00°
Positions (direct):
Hf1 0.0000 0.0000 0.0000
Hg1 0.0000 0.0000 0.5000
Au1 0.0000 0.5000 0.5000
Au2 0.5000 0.0000 0.5000
I1 0.5000 0.5000 0.0000



[2]
## KAl2Rh (PBE)

Data for a relaxed structure of KAl2Rh.

Calculated values
* size of the total moment: 0.00 μB/f.u.
* calculated volume: 101.63 Å³ per cell
* calculated formation energy: -0.337 eV per atom

a = 4.3489 Å, b = 4.3489 Å, c = 6.6901 Å
α = 108.89°, β = 108.89°, γ = 60.00°
Positions (direct):
K1 0.0000 0.0000 0.0000
Al1 0.1865 0.1865 0.5597
Al2 0.8135 0.8135 0.4403
Rh1 0.5000 0.5000 0.5000



[3]
## Hf2Tl2Ag (PBE)

Data for a relaxed structure of Hf2Tl2Ag.

Calculated values
* size of the total moment: 0.00 μB/f.u.
* calculated volume: 239.06 Å³ per cell
* calculated formation energy: 0.369 eV per atom

a = 8.5857 Å, b = 8.5857 Å, c = 3.2431 Å
α = 90.00°, β = 90.00°, γ = 90.00°
Positions (direct):
Hf1 0.1239 0.3761 0.0000
Hf2 0.3761 0.8761 0.0000
Hf3 0.6239 0.1239 0.0000
Hf4 0.8761 0.6239 0.0000
Tl1 0.1770 0.6770 0.5000
Tl2 0.3230 0.1770 0.5000
Tl3 0.6770 0.8230 0.5000
Tl4 0.8230 0.3230 0.5000
Ag1 0.0000 0.0000 0.0000
Ag2 0.5000 0.5000 0.0000



[4]
## NaAg3Te3 (PBE)

Data for a relaxed structure of NaAg3Te3.

Calculated values
* size of the total moment: 0.00 μB/f.u.
* formation energy (no corrections): -0.693 eV per formula unit
* calculated volume: 478.44 Å³ per cell

a = 7.8213 Å, b = 7.8213 Å, c = 7.8213 Å
α = 90.00°, β = 90.00°, γ = 90.00°
Positions (direct):
Na1 0.0000 0.0000 0.0000
Na2 0.5000 0.5000 0.5000
Ag1 0.0000 0.2500 0.5000
Ag2 0.0000 0.7500 0.5000
Ag3 0.2500 0.5000 0.0000
Ag4 0.5000 0.0000 0.2500
Ag5 0.5000 0.0000 0.7500
Ag6 0.7500 0.5000 0.0000
Te1 0.0000 0.5000 0.2500
Te2 0.0000 0.5000 0.7500
Te3 0.2500 0.0000 0.5000
Te4 0.5000 0.2500 0.0000
Te5 0.5000 0.7500 0.0000
Te6 0.7500 0.0000 0.5000



[5]
## VSb2PtCl (PBE)

Data for a relaxed structure of VSb2PtCl.

Calculated values
* size of the total moment: 1.86 μB/f.u.
* formation energy (no corrections): 4.556 eV per formula unit
* calculated volume: 117.02 Å³ per cell

a = 5.2681 Å, b = 5.2681 Å, c = 4.2166 Å
α = 90.00°, β = 90.00°, γ = 90.00°
Positions (direct):
V1 0.0000 0.0000 0.0000
Sb1 0.0000 0.5000 0.5000
Sb2 0.5000 0.0000 0.5000
Pt1 0.5000 0.5000 0.0000
Cl1 0.0000 0.0000 0.5000



[6]
## Nd3PuGe4 (PBE)

Data for a relaxed structure of Nd3PuGe4.

Calculated values
* size of the total moment: 5.99 μB/f.u.
* calculated volume: 218.93 Å³ per cell
* calculated formation energy: -0.556 eV per atom

a = 8.9205 Å, b = 8.9205 Å, c = 8.9205 Å
α = 152.95°, β = 137.07°, γ = 51.48°
Positions (direct):
Nd1 0.0000 0.0000 0.0000
Nd2 0.3067 0.8067 0.5000
Nd3 0.6933 0.1933 0.5000
Pu1 0.5000 0.5000 0.0000
Ge1 0.0609 0.3702 0.6908
Ge2 0.3206 0.6298 0.6908
Ge3 0.6794 0.3702 0.3092
Ge4 0.9391 0.6298 0.3092



- What is the formula in the fourth record?
  NaAg3Te3